Below is a geometry-optimized LaCdTc structure, with properties calculated at the PBE level.

Structure (POSCAR):
```
LaCdTc
1.0
7.118 -0.015 0.012
6.155 3.129 -0.005
0.963 -0.640 3.078
La Tc Cd
1 1 1
direct
0.307 0.307 0.693
0.671 0.671 0.329
0.022 0.022 0.978
```

Calculated values
Total DFT energy (no corrections) in eV per formula unit: -15.23
E_form in eV/atom: 0.3269
Density in g/cm3: 8.44
Energy relative to the lowest polymorph listed for this composition in eV per atom: 0.382
Total magnetization in μB/atom: 0.002